# GdRhAu2 | the Alexandria database | PBE-GGA | relaxed
data_GdRhAu2
_chemical_formula_sum 'Gd4 Rh4 Au8'
_cell_length_a 6.814
_cell_length_b 6.814
_cell_length_c 6.814
_cell_angle_alpha 90.00
_cell_angle_beta 90.00
_cell_angle_gamma 90.00
_space_group_name_H-M_alt 'F m -3 m'
_space_group_IT_number 225
_space_group_name_Hall '-F 4 2 3'
loop_
_atom_site_label
_atom_site_type_symbol
_atom_site_fract_x
_atom_site_fract_y
_atom_site_fract_z
_atom_site_occupancy
Gd1 Gd 0.000 0.000 0.000 1
Rh1 Rh 0.000 0.000 0.500 1
Au1 Au 0.250 0.250 0.250 1
# Formation energy in eV/atom: -0.448
# DOS at the Fermi energy in states/eV/f.u.: 3.0